Ca2GaOsN | the Alexandria database | PBE | optimized geometry; formation energy without anion corrections = -2.25 eV per formula unit; space group = P4/mmm
1.0
5.001 0.000 0.000
0.000 5.001 0.000
0.000 0.000 3.824
Ca Os N Ga
2 1 1 1
Direct
0.500 0.000 0.000
0.000 0.500 0.000
0.000 0.000 0.500
0.000 0.000 0.000
0.500 0.500 0.500

---

Er4Tm5Th3 | the Alexandria database | PBE | optimized geometry; energy of formation from the pure elements = 374.3 meV/atom; space group = C2/m
1.0
5.659 0.000 0.000
2.830 8.708 -3.247
2.830 -1.967 8.540
Er Th Tm
4 3 5
Direct
0.936 0.848 0.279
0.064 0.152 0.721
0.839 0.201 0.121
0.161 0.799 0.879
0.549 0.269 0.633
0.451 0.731 0.367
0.000 0.500 0.500
0.500 0.500 0.500
0.354 0.051 0.242
0.267 0.398 0.068
0.646 0.949 0.758
0.733 0.602 0.932

---

no.,E (Ha/atom),D(E_F) (states/eV/atom)
1,-0.212,0.36
2,-0.179,1.45